Record 1
Here is a PBEsol-optimized structure of Li4VP2O8 from Alexandria. Energies are from SCAN.

Calculated values
magnetization: 12.00 μB/cell
crystal system: monoclinic
E_form (uncorrected): -2539 meV per atom
energy relative to the lowest polymorph listed for this composition: 13.0 meV/atom
final energy: -9.052 eV per atom

Cell: 8.121 10.096 8.346 Å, 90.00 107.51 90.00°
Space group P2_1/c (No. 14)
Inequivalent atoms, fractional coordinates:
Li (0.013, 0.075, 0.256)
Li (0.101, 0.161, 0.606)
Li (0.157, 0.662, 0.663)
Li (0.342, 0.164, 0.356)
V (0.382, 0.643, 0.366)
P (0.212, 0.091, 0.982)
P (0.279, 0.583, 0.038)
O (0.064, 0.108, 0.815)
O (0.158, 0.642, 0.136)
O (0.159, 0.154, 0.129)
O (0.211, 0.055, 0.471)
O (0.244, 0.560, 0.515)
O (0.284, 0.675, 0.894)
O (0.375, 0.159, 0.961)
O (0.461, 0.578, 0.172)

***

Record 2
Here is a PBEsol-optimized structure of LiVP2O7 from Alexandria. Energies are from SCAN.

Calculated values
magnetization: 4.00 μB/cell
crystal system: monoclinic
E_form (uncorrected): -2591 meV per atom
final energy: -10.254 eV per atom

Cell: 6.482 8.098 4.501 Å, 90.00 103.35 90.00°
Space group C2 (No. 5)
Inequivalent atoms, fractional coordinates:
Li (0.000, 0.000, 0.000)
V (0.000, 0.373, 0.000)
P (0.209, 0.711, 0.411)
O (0.000, 0.782, 0.500)
O (0.126, 0.193, 0.286)
O (0.166, 0.544, 0.257)
O (0.247, 0.348, 0.804)

***

Record 3
Here is a PBEsol-optimized structure of LiVPO5 from Alexandria. Energies are from SCAN.

Calculated values
magnetization: 2.00 μB/cell
crystal system: triclinic
E_form (uncorrected): -2539 meV per atom
energy relative to the lowest polymorph listed for this composition: 60.3 meV/atom
final energy: -10.218 eV per atom

Cell: 5.184 5.927 7.102 Å, 107.48 109.92 98.73°
Space group P-1 (No. 2)
Inequivalent atoms, fractional coordinates:
Li (0.110, 0.339, 0.086)
V (0.356, 0.904, 0.791)
P (0.216, 0.352, 0.674)
O (0.019, 0.251, 0.431)
O (0.061, 0.394, 0.821)
O (0.247, 0.961, 0.000)
O (0.401, 0.171, 0.710)
O (0.444, 0.597, 0.727)

***

Record 4
Here is a PBEsol-optimized structure of LiVP2O7 from Alexandria. Energies are from SCAN.

Calculated values
magnetization: 8.00 μB/cell
crystal system: monoclinic
E_form (uncorrected): -2556 meV per atom
final energy: -10.219 eV per atom

Cell: 9.895 8.074 6.679 Å, 90.00 115.85 90.00°
Space group C2/m (No. 12)
Inequivalent atoms, fractional coordinates:
Li (0.000, 0.176, 0.000)
V (0.000, 0.325, 0.500)
P (0.196, 0.500, 0.942)
P (0.218, 0.000, 0.555)
O (0.103, 0.342, 0.834)
O (0.127, 0.156, 0.467)
O (0.145, 0.000, 0.030)
O (0.147, 0.500, 0.508)
O (0.196, 0.500, 0.184)

***

Record 5
Here is a PBEsol-optimized structure of LiVPO4 from Alexandria. Energies are from SCAN.

Calculated values
magnetization: 24.00 μB/cell
crystal system: orthorhombic
E_form (uncorrected): -2462 meV per atom
energy relative to the lowest polymorph listed for this composition: 91.9 meV/atom
final energy: -10.348 eV per atom

Cell: 5.522 11.323 9.145 Å, 90.00 90.00 90.00°
Space group Fdd2 (No. 43)
Inequivalent atoms, fractional coordinates:
Li (0.000, 0.000, 0.000)
V (0.000, 0.000, 0.368)
P (0.000, 0.000, 0.680)
O (0.077, 0.178, 0.028)
O (0.100, 0.327, 0.821)

***

Record 6
Here is a PBEsol-optimized structure of Li2V2P3O12 from Alexandria. Energies are from SCAN.

Calculated values
magnetization: 12.00 μB/cell
crystal system: orthorhombic
E_form (uncorrected): -2605 meV per atom
energy relative to the lowest polymorph listed for this composition: 0.0 meV/atom
final energy: -10.275 eV per atom

Cell: 11.941 8.526 8.593 Å, 90.00 90.00 90.00°
Space group Pbcn (No. 60)
Inequivalent atoms, fractional coordinates:
Li (0.185, 0.217, 0.222)
V (0.114, 0.253, 0.534)
P (0.000, 0.463, 0.250)
P (0.145, 0.105, 0.894)
O (0.028, 0.158, 0.944)
O (0.069, 0.437, 0.637)
O (0.083, 0.355, 0.336)
O (0.156, 0.076, 0.396)
O (0.174, 0.163, 0.729)
O (0.229, 0.174, 0.013)

***

Record 7
Here is a PBEsol-optimized structure of Li3V3P4O16 from Alexandria. Energies are from SCAN.

Calculated values
magnetization: 12.00 μB/cell
crystal system: triclinic
E_form (uncorrected): -2566 meV per atom
energy relative to the lowest polymorph listed for this composition: 34.8 meV/atom
final energy: -10.294 eV per atom

Cell: 8.405 8.861 9.027 Å, 104.41 115.40 101.58°
Space group P-1 (No. 2)
Inequivalent atoms, fractional coordinates:
Li (0.119, 0.307, 0.153)
Li (0.296, 0.541, 0.997)
Li (0.311, 0.173, 0.030)
V (0.137, 0.187, 0.611)
V (0.207, 0.742, 0.777)
V (0.495, 0.193, 0.499)
P (0.053, 0.015, 0.224)
P (0.066, 0.629, 0.334)
P (0.446, 0.528, 0.689)
P (0.483, 0.073, 0.807)
O (0.023, 0.440, 0.277)
O (0.043, 0.142, 0.935)
O (0.064, 0.991, 0.397)
O (0.069, 0.874, 0.813)
O (0.077, 0.713, 0.517)
O (0.111, 0.343, 0.791)
O (0.237, 0.716, 0.325)
O (0.255, 0.114, 0.277)
O (0.324, 0.141, 0.800)
O (0.329, 0.790, 0.044)
O (0.331, 0.581, 0.776)
O (0.351, 0.421, 0.161)
O (0.360, 0.330, 0.601)
O (0.428, 0.611, 0.557)
O (0.451, 0.907, 0.835)
O (0.470, 0.031, 0.622)

***

Record 8
Here is a PBEsol-optimized structure of Li7V4P9O32 from Alexandria. Energies are from SCAN.

Calculated values
magnetization: 16.00 μB/cell
crystal system: tetragonal
E_form (uncorrected): -2559 meV per atom
final energy: -9.861 eV per atom

Cell: 13.627 13.627 6.319 Å, 90.00 90.00 90.00°
Space group P-42_1c (No. 114)
Inequivalent atoms, fractional coordinates:
Li (0.000, 0.000, 0.000)
Li (0.000, 0.500, 0.138)
Li (0.106, 0.253, 0.817)
V (0.121, 0.803, 0.625)
P (0.000, 0.000, 0.500)
P (0.062, 0.308, 0.386)
P (0.107, 0.752, 0.136)
O (0.007, 0.272, 0.170)
O (0.015, 0.255, 0.576)
O (0.058, 0.418, 0.391)
O (0.062, 0.935, 0.651)
O (0.110, 0.812, 0.935)
O (0.140, 0.819, 0.318)
O (0.155, 0.662, 0.627)
O (0.167, 0.269, 0.351)

***

Record 9
Here is a PBEsol-optimized structure of LiVPO4 from Alexandria. Energies are from SCAN.

Calculated values
magnetization: 0.00 μB/cell
crystal system: trigonal
E_form (uncorrected): -2364 meV per atom
energy relative to the lowest polymorph listed for this composition: 190.4 meV/atom
final energy: -10.250 eV per atom

Cell: 4.6026 4.6026 24.4540 Å, 90.00 90.00 120.00°
Space group R-3 (No. 148, hexagonal axes)
Inequivalent atoms, fractional coordinates:
Li (0.0000, 0.0000, 0.2139)
V (0.0000, 0.0000, 0.3347)
P (0.0000, 0.0000, 0.0776)
O (0.0000, 0.0000, 0.1388)
O (0.0107, 0.3228, 0.9449)